First-principles (PBE-GGA) data for an optimized crystal structure of Tb3HoRh3, as listed in Alexandria via LeMat-Bulk.

Calculated values
Energy of formation from the pure elements   -709 meV/atom

a = 9.737 Å, b = 9.864 Å, c = 6.735 Å
α = 90.00°, β = 90.00°, γ = 90.00°
Space group Cmmm (No. 65)
Unique sites:
1 Tb 0.000 0.246 0.000 [4 per cell]
2 Tb 0.245 0.000 0.000 [4 per cell]
3 Tb 0.247 0.500 0.500 [4 per cell]
4 Ho 0.000 0.238 0.500 [4 per cell]
5 Rh 0.000 0.000 0.250 [4 per cell]
6 Rh 0.250 0.250 0.252 [8 per cell]